Below is an optimized crystal structure of Sr2MnTe, with properties calculated at the GGA-PBEsol level.

Cell: 4.0415 4.0415 7.4989 Å, 90.00 90.00 90.00°
Each line ends with the local moment (μB).
Fractional coordinates of all 4 atoms:
Te 0.5000 0.5000 0.0000  0.02
Sr 0.0000 0.0000 0.7515  -0.04
Sr 0.0000 0.0000 0.2485  -0.04
Mn 0.5000 0.5000 0.5000  4.01

## Properties
Theoretical density   4.850 Mg/m³
Total magnetic moment   3.992 μB/f.u.
Uncorrected formation energy   -0.31 eV/atom

Below is an optimized crystal structure of SrTiMn3, with properties calculated at the GGA-PBEsol level.

Cell: 4.6760 4.6760 4.6760 Å, 90.00 90.00 90.00°
Each line ends with the local moment (μB).
Fractional coordinates of all 5 atoms:
Sr 0.5000 0.5000 0.5000  -0.03
Ti 0.0000 0.0000 0.0000  -1.02
Mn 0.5000 0.0000 0.0000  3.15
Mn 0.0000 0.0000 0.5000  3.15
Mn 0.0000 0.5000 0.0000  3.15

## Properties
Theoretical density   4.877 Mg/m³
Total magnetic moment   8.618 μB/f.u.
Formation energy from the elements   0.899 eV per atom

Below is an optimized crystal structure of Sr3MnTl, with properties calculated at the GGA-PBEsol level.

Cell: 6.2217 6.2217 6.2217 Å, 90.00 90.00 90.00°
Each line ends with the local moment (μB).
Fractional coordinates of all 5 atoms:
Sr 0.0000 0.0000 0.5000  -0.01
Sr 0.0000 0.5000 0.0000  -0.01
Sr 0.5000 0.0000 0.0000  -0.01
Tl 0.0000 0.0000 0.0000  0.02
Mn 0.5000 0.5000 0.5000  4.36

## Properties
Theoretical density   3.600 Mg/m³
Total magnetic moment   4.554 μB/f.u.
Formation energy from the elements   0.588 eV per atom

Below is an optimized crystal structure of Sr4MnW, with properties calculated at the GGA-PBEsol level.

Cell: 6.6157 6.6157 6.6157 Å, 60.00 60.00 60.00°
Each line ends with the local moment (μB).
Fractional coordinates of all 6 atoms:
Sr 0.8732 0.3756 0.3756  -0.01
Sr 0.3756 0.8732 0.3756  -0.01
Sr 0.3756 0.3756 0.8732  -0.01
Sr 0.3756 0.3756 0.3756  -0.01
W 0.7500 0.7500 0.7500  2.68
Mn 0.0000 0.0000 0.0000  4.31

## Properties
Theoretical density   4.779 Mg/m³
Total magnetic moment   8.632 μB/f.u.
Formation energy from the elements   1.651 eV per atom

Below is an optimized crystal structure of SrMn2W, with properties calculated at the GGA-PBEsol level.

Cell: 3.0398 4.3561 6.3898 Å, 97.91 90.00 110.42°
Each line ends with the local moment (μB).
Fractional coordinates of all 4 atoms:
W 0.5000 0.0000 0.0000  -0.41
Mn 0.7722 0.5443 0.8602  2.00
Mn 0.2278 0.4557 0.1398  2.00
Sr 0.0000 0.0000 0.5000  0.03

## Properties
Excess energy over the best structure of this formula in the dataset   0 meV per atom
Theoretical density   8.073 Mg/m³
Total magnetic moment   3.891 μB/f.u.
Formation energy from the elements   0.777 eV per atom

Below is an optimized crystal structure of Sr2MnW, with properties calculated at the GGA-PBEsol level.

Cell: 3.3185 3.3185 9.3569 Å, 90.00 90.00 90.00°
Each line ends with the local moment (μB).
Fractional coordinates of all 4 atoms:
Mn 0.5000 0.5000 0.6621  -0.06
Sr 0.0000 0.0000 0.9236  0.00
Sr 0.5000 0.5000 0.3239  0.00
W 0.0000 0.0000 0.5905  0.02

## Properties
Excess energy over the best structure of this formula in the dataset   0 meV per atom
Theoretical density   6.672 Mg/m³
Total magnetic moment   0.053 μB/f.u.
Formation energy from the elements   0.667 eV per atom